## Ac4Cd3Hg (PBE-GGA)

Data for a relaxed structure of Ac4Cd3Hg.

Computed properties:
Electronic total energy: -0.201 Ry per atom
Fermi-level density of states: 1.25 states/eV per atom
ΔE_f: -0.30 eV/atom
Polymorph energy (0 for the lowest one): 35 meV per atom
Size of the total moment: 0.00 μB per cell

a = 4.0502 Å, b = 5.1387 Å, c = 13.0963 Å
α = 90.00°, β = 90.00°, γ = 90.00°
Closest atoms and distances in Å follow each position.
Space group Pmm2 (No. 25)
Inequivalent atoms, fractional coordinates:
Ac 0.0000 0.0000 0.0000 [1 per cell]  5 Cd 3.44-3.67, 2 Hg 3.56
Ac 0.0000 0.5000 0.3038 [1 per cell]  4 Hg 3.44, 3 Cd 3.54-3.67
Ac 0.5000 0.0000 0.4957 [1 per cell]  6 Cd 3.47-3.56, 1 Hg 3.57
Ac 0.5000 0.5000 0.8076 [1 per cell]  7 Cd 3.47-3.60
Cd 0.0000 0.0000 0.7194 [1 per cell]  2 Cd 3.12, 4 Ac 3.47
Cd 0.0000 0.5000 0.5839 [1 per cell]  2 Cd 3.12, 4 Ac 3.47
Cd 0.5000 0.5000 0.0823 [1 per cell]  2 Hg 3.16, 6 Ac 3.44-3.54
Hg 0.5000 0.0000 0.2234 [1 per cell]  2 Cd 3.16, 4 Ac 3.44